RbIn2Hg7 (PBE, optimized geometry); calculated volume = 376.0 Å³ per cell; DOS(E_F) = 4.29 states/eV/f.u.; DFT formation energy = -0.1 eV per formula unit; ΔE to the lowest computed polymorph = 0.036 eV/atom
1.0
4.818 -6.750 0.000
4.818 6.750 0.000
0.000 0.000 5.781
Rb In Hg
1 2 7
Cartesian
0.000 0.000 0.000
4.818 3.070 2.890
4.818 -3.070 2.890
2.048 1.533 2.890
4.818 2.755 0.000
2.048 -1.533 2.890
4.818 0.000 2.890
7.588 1.533 2.890
4.818 -2.755 0.000
7.588 -1.533 2.890

---

RbIn7Hg12 (PBE, optimized geometry); calculated volume = 572.4 Å³ per cell; DOS(E_F) = 10.14 states/eV/f.u.; DFT formation energy = -0.4 eV per formula unit; ΔE to the lowest computed polymorph = 0.000 eV/atom
1.0
7.755 4.477 2.748
-7.755 4.477 2.748
0.000 -8.954 2.748
Rb In Hg
1 7 12
Cartesian
0.000 0.000 0.000
0.000 -3.213 2.668
-2.783 1.607 2.668
-2.783 -1.607 5.576
0.000 0.000 4.122
2.783 1.607 2.668
2.783 -1.607 5.576
0.000 3.213 5.576
-1.898 -5.667 2.748
-5.857 1.190 2.748
-2.571 -1.484 2.515
1.898 -5.667 2.748
-3.959 4.477 2.748
2.571 -1.484 2.515
0.000 2.969 2.515
0.000 -2.969 5.729
-2.571 1.484 5.729
5.857 1.190 2.748
3.959 4.477 2.748
2.571 1.484 5.729

---

Rb3In3Hg8 (PBE, optimized geometry); calculated volume = 447.9 Å³ per cell; DOS(E_F) = 6.31 states/eV/f.u.; DFT formation energy = -2.6 eV per formula unit; ΔE to the lowest computed polymorph = 0.000 eV/atom
1.0
-2.696 5.259 7.897
2.696 -5.259 7.897
2.696 5.259 -7.897
Rb In Hg
3 3 8
Cartesian
0.000 0.000 0.000
0.000 0.000 4.497
0.000 0.000 11.298
2.696 3.443 0.000
0.000 5.259 0.000
0.000 1.815 7.897
2.696 -1.560 2.510
2.696 -2.147 5.656
2.696 1.560 2.510
0.000 3.111 2.241
2.696 2.147 5.656
0.000 3.698 5.387
0.000 7.406 2.241
0.000 6.819 5.387

---

Rb2InHg (PBE, optimized geometry); calculated volume = 172.9 Å³ per cell; DOS(E_F) = 3.80 states/eV/f.u.; DFT formation energy = -0.1 eV per formula unit; ΔE to the lowest computed polymorph = 0.107 eV/atom
1.0
4.224 0.000 0.000
0.000 4.224 0.000
0.000 0.000 9.693
Rb In Hg
2 1 1
Cartesian
0.000 0.000 2.392
0.000 0.000 7.300
2.112 2.112 4.846
2.112 2.112 0.000

---

Rb2InHg (PBE, optimized geometry); calculated volume = 176.9 Å³ per cell; DOS(E_F) = 4.99 states/eV/f.u.; DFT formation energy = 0.1 eV per formula unit; ΔE to the lowest computed polymorph = 0.145 eV/atom
1.0
0.000 4.456 4.456
4.456 0.000 4.456
4.456 4.456 0.000
Rb In Hg
2 1 1
Cartesian
2.228 2.228 2.228
6.684 6.684 6.684
0.000 0.000 0.000
4.456 4.456 4.456

---

Rb2InHg (PBE, optimized geometry); calculated volume = 186.3 Å³ per cell; DOS(E_F) = 2.91 states/eV/f.u.; DFT formation energy = 0.6 eV per formula unit; ΔE to the lowest computed polymorph = 0.276 eV/atom
1.0
2.037 1.176 12.963
-2.037 1.176 12.963
0.000 -2.352 12.963
Rb In Hg
2 1 1
Cartesian
0.000 0.000 3.653
0.000 0.000 35.236
0.000 0.000 0.000
0.000 0.000 19.445